No. 1
The following is a DFT calculation (PBE) of crystalline HoZn3Ag10 at its relaxed geometry.

Summary:
ΔH_f (0 K)	0.063	eV per atom

Lattice parameters (Å, degrees): 12.9743 12.9743 12.9743 90.00 90.00 90.00
With the nearest neighbours (Å) after each atom.
Space group Fm-3m (No. 225)
Symmetry-distinct sites (fractional):
Ho (0.2500, 0.2500, 0.2500) [8 per cell]  4 Ag 2.93
Zn (0.0000, 0.0000, 0.2303) [24 per cell]  8 Ag 2.57-2.62
Ag (0.0000, 0.1734, 0.3266) [48 per cell]  2 Zn 2.57, 1 Ag 2.81
Ag (0.1198, 0.1198, 0.1198) [32 per cell]  3 Zn 2.62, 1 Ho 2.93


No. 2
The following is a DFT calculation (PBE) of crystalline SmCu3Se3 at its relaxed geometry.

Summary:
formation energy without anion corrections	-0.744	eV/atom

Lattice parameters (Å, degrees): 7.0536 7.0536 20.0785 90.00 90.00 120.00
With the nearest neighbours (Å) after each atom.
Space group R-3 (No. 148, hexagonal axes)
Symmetry-distinct sites (fractional):
Sm (0.0000, 0.0000, 0.1663) [6 per cell]  6 Se 2.93-2.94
Cu (0.0047, 0.3569, 0.6240) [18 per cell]  4 Se 2.43-2.53
Se (0.0018, 0.3210, 0.4160) [18 per cell]  4 Cu 2.43-2.53


No. 3
The following is a DFT calculation (PBE) of crystalline DyLuHgGe at its relaxed geometry.

Summary:
ΔH_f (0 K)	-0.521	eV per atom

Lattice parameters (Å, degrees): 7.2187 7.2187 7.2187 90.00 90.00 90.00
With the nearest neighbours (Å) after each atom.
Space group F-43m (No. 216)
Symmetry-distinct sites (fractional):
Dy (0.0000, 0.0000, 0.0000) [4 per cell]  4 Ge 3.13, 4 Hg 3.13
Lu (0.0000, 0.0000, 0.5000) [4 per cell]  4 Hg 3.13, 4 Ge 3.13
Hg (0.2500, 0.2500, 0.2500) [4 per cell]  4 Dy 3.13, 4 Lu 3.13
Ge (0.2500, 0.2500, 0.7500) [4 per cell]  4 Lu 3.13, 4 Dy 3.13


No. 4
The following is a DFT calculation (PBE) of crystalline Pm5NdAl6 at its relaxed geometry.

Summary:
ΔH_f (0 K)	-0.366	eV per atom

Lattice parameters (Å, degrees): 16.5442 7.4233 5.2346 90.00 108.38 90.00
With the nearest neighbours (Å) after each atom.
Space group C2/m (No. 12)
Symmetry-distinct sites (fractional):
Pm (0.0000, 0.0000, 0.0000) [2 per cell]  8 Al 3.20-3.21
Pm (0.1658, 0.5000, 0.6659) [4 per cell]  8 Al 3.21
Pm (0.1673, 0.0000, 0.6674) [4 per cell]  8 Al 3.20
Nd (0.0000, 0.5000, 0.0000) [2 per cell]  8 Al 3.22
Al (0.0000, 0.2470, 0.5000) [4 per cell]  6 Pm 3.20-3.21, 2 Nd 3.22
Al (0.1672, 0.2486, 0.1674) [8 per cell]  7 Pm 3.20-3.21, 1 Nd 3.22


No. 5
The following is a DFT calculation (PBE) of crystalline NpAg3Cl6F2 at its relaxed geometry.

Summary:
formation energy without anion corrections	-1.120	eV/atom

Lattice parameters (Å, degrees): 13.2723 7.4406 6.5450 90.00 112.10 90.00
With the nearest neighbours (Å) after each atom.
Space group C2/m (No. 12)
Symmetry-distinct sites (fractional):
Np (0.0000, 0.0000, 0.0000) [2 per cell]  6 Cl 2.54-2.61
Ag (0.0000, 0.5000, 0.5000) [2 per cell]  2 F 2.15
Ag (0.2500, 0.2500, 0.0000) [4 per cell]  2 F 2.41, 2 Cl 2.66
Cl (0.1154, 0.2438, 0.2519) [8 per cell]  1 Np 2.54
Cl (0.1156, 0.0000, 0.7535) [4 per cell]  1 Np 2.61, 2 Ag 2.66
F (0.1476, 0.5000, 0.7880) [4 per cell]  1 Ag 2.15


No. 6
The following is a DFT calculation (PBE) of crystalline CaTeAs2 at its relaxed geometry.

Summary:
formation energy without anion corrections	-0.342	eV/atom

Lattice parameters (Å, degrees): 6.3374 7.8112 3.8322 90.00 90.00 90.00
With the nearest neighbours (Å) after each atom.
Space group Cmmm (No. 65)
Symmetry-distinct sites (fractional):
Ca (0.0000, 0.0000, 0.0000) [2 per cell]  8 As 3.16, 2 Te 3.17
Te (0.0000, 0.5000, 0.0000) [2 per cell]  8 As 3.16, 2 Ca 3.17
As (0.2500, 0.2500, 0.5000) [4 per cell]  4 Te 3.16, 4 Ca 3.16, 2 As 3.17


No. 7
The following is a DFT calculation (PBE) of crystalline KCr4Cl at its relaxed geometry.

Summary:
formation energy without anion corrections	1.368	eV/atom

Lattice parameters (Å, degrees): 7.5882 7.5882 7.5882 90.00 90.00 90.00
With the nearest neighbours (Å) after each atom.
Space group F-43m (No. 216)
Symmetry-distinct sites (fractional):
K (0.0000, 0.0000, 0.0000) [4 per cell]  12 Cr 3.20, 4 Cl 3.29
Cr (0.1058, 0.1058, 0.3942) [16 per cell]  3 Cr 2.27
Cl (0.2500, 0.2500, 0.7500) [4 per cell]  12 Cr 3.11, 4 K 3.29


No. 8
The following is a DFT calculation (PBE) of crystalline Rb2Si2Sb at its relaxed geometry.

Summary:
formation energy without anion corrections	0.098	eV/atom

Lattice parameters (Å, degrees): 7.4105 7.4105 5.7317 90.00 90.00 90.00
With the nearest neighbours (Å) after each atom.
Space group P4/mbm (No. 127)
Symmetry-distinct sites (fractional):
Rb (0.1974, 0.3026, 0.0000) [4 per cell]  6 Si 3.52-3.71, 4 Rb 3.79, 4 Sb 3.92
Si (0.1070, 0.6070, 0.5000) [4 per cell]  1 Si 2.24
Sb (0.0000, 0.0000, 0.5000) [2 per cell]  4 Si 3.02


No. 9
The following is a DFT calculation (PBE) of crystalline IrRhW at its relaxed geometry.

Summary:
offset from the most stable computed form	384	meV/atom
ΔH_f (0 K)	0.115	eV per atom

Lattice parameters (Å, degrees): 5.9453 5.9453 5.9453 90.00 90.00 90.00
With the nearest neighbours (Å) after each atom.
Space group F-43m (No. 216)
Symmetry-distinct sites (fractional):
Ir (0.0000, 0.0000, 0.0000) [4 per cell]  4 W 2.57
Rh (0.0000, 0.0000, 0.5000) [4 per cell]  4 W 2.57
W (0.2500, 0.2500, 0.2500) [4 per cell]  4 Rh 2.57, 4 Ir 2.57


No. 10
The following is a DFT calculation (PBE) of crystalline Ba5Tl2Pd at its relaxed geometry.

Summary:
ΔH_f (0 K)	-0.352	eV per atom

Lattice parameters (Å, degrees): 10.3968 14.8049 4.6498 90.00 90.00 90.00
With the nearest neighbours (Å) after each atom.
Space group Pbam (No. 55)
Symmetry-distinct sites (fractional):
Ba (0.0000, 0.0000, 0.0000) [2 per cell]  4 Tl 3.57
Ba (0.1593, 0.3131, 0.0000) [4 per cell]  1 Pd 3.22
Ba (0.1717, 0.5857, 0.5000) [4 per cell]  2 Pd 3.19
Tl (0.0497, 0.8203, 0.5000) [4 per cell]  7 Ba 3.57-3.82
Pd (0.0000, 0.5000, 0.0000) [2 per cell]  6 Ba 3.19-3.22


No. 11
The following is a DFT calculation (PBE) of crystalline SnTe2HOs at its relaxed geometry.

Summary:
E	-16.0	eV/cell

Lattice parameters (Å, degrees): 5.7942 5.7942 5.1315 90.00 90.00 90.00
With the nearest neighbours (Å) after each atom.
Space group P4/mmm (No. 123)
Symmetry-distinct sites (fractional):
Sn (0.0000, 0.0000, 0.0000) [1 per cell]  2 Os 2.57
Te (0.0000, 0.5000, 0.0000) [2 per cell]  2 Sn 2.90
H (0.5000, 0.5000, 0.5000) [1 per cell]  8 Te 3.87, 4 Os 4.10
Os (0.0000, 0.0000, 0.5000) [1 per cell]  2 Sn 2.57